Record 1
Ti2MoOsC | SCAN | single point on PBEsol structure

Calculated values
**Fermi-level density of states**: 0.880 states/eV per atom
**Formation energy from the elements**: 1959 meV per atom
**Size of the total moment**: 0.00 Bohr magnetons per cell

The structure in extended XYZ format:
```
5
Lattice="4.6527 0.0000 0.0000 0.0000 4.6527 0.0000 0.0000 0.0000 4.6290" Properties=species:S:1:pos:R:3 pbc="T T T"
Ti 0.0000 2.3264 0.0000
Ti 2.3264 0.0000 0.0000
Mo 0.0000 0.0000 2.3145
Os 0.0000 0.0000 0.0000
C 2.3264 2.3264 2.3145
```

=====

Record 2
SiAg2PdPt | SCAN | single point on PBEsol structure

Calculated values
**Energy relative to the elements, uncorrected**: 394 meV per atom
**Fermi-level density of states**: 0.358 states/eV per atom
**Size of the total moment**: 0.00 Bohr magnetons per cell

The structure in extended XYZ format:
```
5
Lattice="4.5781 0.0000 0.0000 0.0000 4.5781 0.0000 0.0000 0.0000 4.4050" Properties=species:S:1:pos:R:3 pbc="T T T"
Si 0.0000 0.0000 0.0000
Ag 0.0000 2.2890 0.0000
Ag 2.2890 0.0000 0.0000
Pd 2.2890 2.2890 2.2025
Pt 0.0000 0.0000 2.2025
```

=====

Record 3
Ca3TcB | SCAN | single point on PBEsol structure

Calculated values
**Fermi-level density of states**: 0.914 states/eV per atom
**Formation energy from the elements**: 1398 meV per atom
**Size of the total moment**: 0.00 Bohr magnetons per cell

The structure in extended XYZ format:
```
5
Lattice="5.1721 0.0000 0.0000 0.0000 5.1721 0.0000 0.0000 0.0000 5.1721" Properties=species:S:1:pos:R:3 pbc="T T T"
Ca 0.0000 0.0000 2.5860
Ca 0.0000 2.5860 0.0000
Ca 2.5860 0.0000 0.0000
Tc 0.0000 0.0000 0.0000
B 2.5860 2.5860 2.5860
```

=====

Record 4
TiMn3Pb | SCAN | single point on PBEsol structure

Calculated values
**Fermi-level density of states**: 0.480 states/eV per atom
**Formation energy from the elements**: 741 meV per atom
**Size of the total moment**: 9.02 Bohr magnetons per cell

The structure in extended XYZ format:
```
5
Lattice="4.4889 0.0000 0.0000 0.0000 4.4889 0.0000 0.0000 0.0000 4.4889" Properties=species:S:1:pos:R:3 pbc="T T T"
Ti 0.0000 0.0000 0.0000
Mn 0.0000 0.0000 2.2445
Mn 0.0000 2.2445 0.0000
Mn 2.2445 0.0000 0.0000
Pb 2.2445 2.2445 2.2445
```

=====

Record 5
CrOsBr3 | SCAN | single point on PBEsol structure

Calculated values
**Energy relative to the elements, uncorrected**: 648 meV per atom
**Fermi-level density of states**: 2.179 states/eV per atom
**Size of the total moment**: 5.96 Bohr magnetons per cell

The structure in extended XYZ format:
```
5
Lattice="4.9920 0.0000 0.0000 0.0000 4.9920 0.0000 0.0000 0.0000 4.9920" Properties=species:S:1:pos:R:3 pbc="T T T"
Cr 0.0000 0.0000 0.0000
Os 2.4960 2.4960 2.4960
Br 0.0000 2.4960 2.4960
Br 2.4960 0.0000 2.4960
Br 2.4960 2.4960 0.0000
```

=====

Record 6
Ir2Se | SCAN | single point on PBEsol structure

Calculated values
**Energy relative to the elements, uncorrected**: 613 meV per atom
**Fermi-level density of states**: 0.577 states/eV per atom
**Size of the total moment**: 0.00 Bohr magnetons per cell

The structure in extended XYZ format:
```
9
Lattice="6.9452 0.0000 0.0000 -3.4726 6.0147 0.0000 0.0000 0.0000 3.3205" Properties=species:S:1:pos:R:3 pbc="T T T"
Ir -1.1325 1.9616 0.0000
Ir -2.3022 3.9875 1.6602
Ir 2.2650 0.0000 0.0000
Ir 1.1704 2.0272 1.6602
Ir 4.6044 0.0000 1.6602
Ir 2.3401 4.0531 0.0000
Se 0.0000 0.0000 1.6602
Se 0.0000 4.0098 0.0000
Se 3.4726 2.0049 0.0000
```